No. 1
Compound: NaMnCuSe2
Source: the Alexandria database
Functional: PBEsol
Structure: relaxed

```
5
Lattice="4.0513 0.0000 0.0000 -2.0256 3.5085 0.0000 0.0000 0.0000 7.1062" Properties=species:S:1:pos:R:3 pbc="T T T"
Na 0.0000 0.0000 0.0000
Mn 0.0000 2.3390 4.2027
Cu 2.0256 1.1695 2.6139
Se 0.0000 2.3390 1.7755
Se 2.0256 1.1695 5.1657
```

Properties
Uncorrected formation energy in meV per atom: -488
E in eV per atom: -5.13

=====

No. 2
Compound: Na2TaMnCu
Source: the Alexandria database
Functional: PBEsol
Structure: relaxed

```
5
Lattice="5.6201 0.0000 0.0000 0.0000 5.6201 0.0000 0.0000 0.0000 4.6704" Properties=species:S:1:pos:R:3 pbc="T T T"
Na 0.0000 2.8101 0.0000
Na 2.8101 0.0000 0.0000
Ta 0.0000 0.0000 0.0000
Mn 2.8101 2.8101 2.3352
Cu 0.0000 0.0000 2.3352
```

Properties
Energy of formation in eV per atom: 2.0430
E in eV per atom: -3.85

=====

No. 3
Compound: NaMnZnCu2
Source: the Alexandria database
Functional: PBEsol
Structure: relaxed

```
5
Lattice="4.5394 0.0000 0.0000 0.0000 4.5394 0.0000 0.0000 0.0000 4.6656" Properties=species:S:1:pos:R:3 pbc="T T T"
Na 0.0000 0.0000 0.0000
Mn 2.2697 2.2697 0.0000
Zn 2.2697 2.2697 2.3328
Cu 0.0000 2.2697 2.3328
Cu 2.2697 0.0000 2.3328
```

Properties
Energy of formation in eV per atom: 0.7715
E in eV per atom: -3.51

=====

No. 4
Compound: MnNbCu2Pb
Source: the Alexandria database
Functional: PBEsol
Structure: relaxed

```
5
Lattice="4.6762 0.0000 0.0000 0.0000 4.6762 0.0000 0.0000 0.0000 5.2910" Properties=species:S:1:pos:R:3 pbc="T T T"
Mn 0.0000 0.0000 0.0000
Nb 2.3381 2.3381 0.0000
Cu 0.0000 2.3381 2.6455
Cu 2.3381 0.0000 2.6455
Pb 2.3381 2.3381 2.6455
```

Properties
Energy of formation in eV per atom: 1.6221
E in eV per atom: -5.03

=====

No. 5
Compound: MnNb2ZnCu
Source: the Alexandria database
Functional: PBEsol
Structure: relaxed

```
5
Lattice="4.4415 0.0000 0.0000 0.0000 4.4415 0.0000 0.0000 0.0000 4.4435" Properties=species:S:1:pos:R:3 pbc="T T T"
Mn 0.0000 0.0000 0.0000
Nb 0.0000 2.2207 0.0000
Nb 2.2207 0.0000 0.0000
Zn 2.2207 2.2207 2.2218
Cu 0.0000 0.0000 2.2218
```

Properties
Energy of formation in eV per atom: 0.8907
E in eV per atom: -6.57

=====

No. 6
Compound: MnCu2Ni
Source: the Alexandria database
Functional: PBEsol
Structure: relaxed

```
4
Lattice="2.6295 0.0000 0.0000 0.0000 3.4134 0.0000 0.0000 0.0000 5.1118" Properties=species:S:1:pos:R:3 pbc="T T T"
Mn 0.0000 0.0000 0.0000
Cu 0.0000 0.0000 2.5936
Cu 1.3147 1.7067 1.3600
Ni 1.3147 1.7067 3.8864
```

Properties
Energy of formation in eV per atom: 0.0735
E in eV per atom: -6.07

=====

No. 7
Compound: MnCu2Ni
Source: the Alexandria database
Functional: PBEsol
Structure: relaxed

```
4
Lattice="-1.7890 1.7890 3.5536 1.7890 -1.7890 3.5536 1.7890 1.7890 -3.5536" Properties=species:S:1:pos:R:3 pbc="T T T"
Mn 0.0000 0.0000 0.0000
Cu 0.0000 0.0000 3.5536
Cu 0.0000 1.7890 1.7768
Ni 1.7890 0.0000 1.7768
```

Properties
Energy of formation in eV per atom: 0.0470
E in eV per atom: -6.10

=====

No. 8
Compound: MnCuNi
Source: the Alexandria database
Functional: PBEsol
Structure: relaxed

```
3
Lattice="-1.3160 1.6927 3.8429 1.3160 -1.6927 3.8429 1.3160 1.6927 -3.8429" Properties=species:S:1:pos:R:3 pbc="T T T"
Mn 0.0000 0.0000 0.0000
Cu 0.0000 0.0000 2.5199
Ni 0.0000 0.0000 5.0866
```

Properties
Energy of formation in eV per atom: 0.0796
E in eV per atom: -6.67

=====

No. 9
Compound: MnCu2Ni
Source: the Alexandria database
Functional: PBEsol
Structure: relaxed

```
4
Lattice="1.2342 0.7126 8.2740 -1.2342 0.7126 8.2740 0.0000 -1.4252 8.2740" Properties=species:S:1:pos:R:3 pbc="T T T"
Mn 0.0000 0.0000 0.0000
Cu 0.0000 0.0000 6.1722
Cu 0.0000 0.0000 18.6498
Ni 0.0000 0.0000 12.4110
```

Properties
Energy of formation in eV per atom: 0.1618
E in eV per atom: -5.98

=====

No. 10
Compound: MnCu2Ni
Source: the Alexandria database
Functional: PBEsol
Structure: relaxed

```
4
Lattice="2.9625 0.0000 0.0000 0.0000 2.9625 0.0000 0.0000 0.0000 5.2451" Properties=species:S:1:pos:R:3 pbc="T T T"
Mn 0.0000 0.0000 0.0000
Cu 0.0000 0.0000 2.5791
Cu 1.4812 1.4812 3.8481
Ni 1.4812 1.4812 1.2588
```

Properties
Energy of formation in eV per atom: 0.0909
E in eV per atom: -6.06

=====

No. 11
Compound: MnCu2Ni
Source: the Alexandria database
Functional: PBEsol
Structure: relaxed

```
4
Lattice="-1.7536 1.7536 3.7095 1.7536 -1.7536 3.7095 1.7536 1.7536 -3.7095" Properties=species:S:1:pos:R:3 pbc="T T T"
Mn 0.0000 0.0000 0.0000
Cu 1.7536 0.0000 1.8547
Cu 0.0000 1.7536 1.8547
Ni 0.0000 0.0000 3.7095
```

Properties
Energy of formation in eV per atom: 0.0501
E in eV per atom: -6.10

=====

No. 12
Compound: Mn4Cu3O12
Source: the Alexandria database
Functional: PBEsol
Structure: relaxed

```
19
Lattice="-3.5253 3.5253 3.5253 3.5253 -3.5253 3.5253 3.5253 3.5253 -3.5253" Properties=species:S:1:pos:R:3 pbc="T T T"
Mn 1.7627 1.7627 -1.7627
Mn 1.7627 -1.7627 1.7627
Mn -1.7627 1.7627 1.7627
Mn 1.7627 1.7627 1.7627
Cu 3.5253 0.0000 0.0000
Cu 0.0000 3.5253 0.0000
Cu 0.0000 0.0000 3.5253
O 3.5253 -1.3410 2.2283
O 2.1843 1.2970 0.0000
O 4.8663 1.2970 0.0000
O 2.2283 3.5253 -1.3410
O 1.2970 0.0000 2.1843
O 0.0000 2.1843 1.2970
O 3.5253 1.3410 2.2283
O 2.2283 3.5253 1.3410
O 1.2970 0.0000 4.8663
O -1.3410 2.2283 3.5253
O 1.3410 2.2283 3.5253
O 0.0000 4.8663 1.2970
```

Properties
Uncorrected formation energy in meV per atom: -1205
E in eV per atom: -7.26

=====

No. 13
Compound: Mn3Cu3O8
Source: the Alexandria database
Functional: PBEsol
Structure: relaxed

```
56
Lattice="8.1901 0.0000 0.0000 0.0000 8.1901 0.0000 0.0000 0.0000 8.1901" Properties=species:S:1:pos:R:3 pbc="T T T"
Mn 0.9774 1.0701 5.1188
Mn 1.0238 3.1177 7.1200
Mn 1.0701 5.1188 0.9774
Mn 3.0249 3.0713 5.0725
Mn 3.0713 5.0725 3.0249
Mn 3.1177 7.1200 1.0238
Mn 5.0725 3.0249 3.0713
Mn 5.1188 0.9774 1.0701
Mn 5.1652 7.1664 7.2127
Mn 7.1200 1.0238 3.1177
Mn 7.1664 7.2127 5.1652
Mn 7.2127 5.1652 7.1664
Cu 0.0657 0.0657 0.0657
Cu 1.0238 7.1664 3.0713
Cu 1.9819 1.9819 1.9819
Cu 2.1132 6.2083 6.0769
Cu 3.0713 1.0238 7.1664
Cu 4.0294 8.1245 4.1608
Cu 4.1608 4.0294 8.1245
Cu 5.1188 5.1188 5.1188
Cu 6.0769 2.1132 6.2083
Cu 6.2083 6.0769 2.1132
Cu 7.1664 3.0713 1.0238
Cu 8.1245 4.1608 4.0294
O 0.8133 1.0365 3.2166
O 0.8785 7.3769 5.1315
O 0.9592 5.0543 7.2309
O 1.0111 1.2343 7.0211
O 1.0365 3.2166 0.8133
O 1.0883 3.0068 5.1834
O 1.1690 5.1062 2.8608
O 1.2343 7.0211 1.0111
O 2.8608 1.1690 5.1062
O 2.9261 3.0840 6.9559
O 3.0068 5.1834 1.0883
O 3.0586 4.9736 4.9083
O 3.0840 6.9559 2.9261
O 3.1358 3.1358 3.1358
O 3.2166 0.8133 1.0365
O 3.2818 7.1537 7.3116
O 4.9083 3.0586 4.9736
O 4.9736 4.9083 3.0586
O 5.0543 7.2309 0.9592
O 5.1062 2.8608 1.1690
O 5.1315 0.8785 7.3769
O 5.1834 1.0883 3.0068
O 5.2641 7.1791 5.3293
O 5.3293 5.2641 7.1791
O 6.9559 2.9261 3.0840
O 7.0211 1.0111 1.2343
O 7.1018 7.1018 7.1018
O 7.1537 7.3116 3.2818
O 7.1791 5.3293 5.2641
O 7.2309 0.9592 5.0543
O 7.3116 3.2818 7.1537
O 7.3769 5.1315 0.8785
```

Properties
Uncorrected formation energy in meV per atom: -1261
E in eV per atom: -7.28

=====

No. 14
Compound: MnCuO2
Source: the Alexandria database
Functional: PBEsol
Structure: relaxed

```
4
Lattice="2.7520 -1.4391 0.0000 2.7520 1.4391 0.0000 -1.3886 0.0000 5.6745" Properties=species:S:1:pos:R:3 pbc="T T T"
Mn 0.0000 0.0000 0.0000
Cu 2.0577 0.0000 2.8372
O 1.9674 0.0000 1.0222
O 2.1481 0.0000 4.6523
```

Properties
Uncorrected formation energy in meV per atom: -1140
E in eV per atom: -7.29

=====

No. 15
Compound: Mn4CuO8
Source: the Alexandria database
Functional: PBEsol
Structure: relaxed

```
13
Lattice="4.9535 -2.8290 0.0000 4.9535 2.8290 0.0000 -3.1128 0.0000 4.7795" Properties=species:S:1:pos:R:3 pbc="T T T"
Mn 0.0000 0.0000 0.0000
Mn 2.4767 1.4145 0.0000
Mn 2.4767 -1.4145 0.0000
Mn 3.3970 0.0000 2.3897
Cu -1.5564 0.0000 2.3897
O 4.0326 1.4375 1.0953
O 1.7225 0.0000 1.0529
O -0.0251 0.0000 3.7313
O 2.7614 1.4375 3.6842
O 4.0326 -1.4375 1.0953
O 6.8191 0.0000 1.0482
O 5.0716 0.0000 3.7265
O 2.7614 -1.4375 3.6842
```

Properties
Uncorrected formation energy in meV per atom: -1334
E in eV per atom: -7.90

=====

No. 16
Compound: Mn3CuO8
Source: the Alexandria database
Functional: PBEsol
Structure: relaxed

```
12
Lattice="2.8133 1.6243 4.7266 -2.8133 1.6243 4.7266 0.0000 -3.2485 4.7266" Properties=species:S:1:pos:R:3 pbc="T T T"
Mn -1.4066 -0.8121 4.7266
Mn -1.4066 0.8121 9.4532
Mn 0.0000 1.6243 4.7266
Cu 0.0000 0.0000 7.0899
O 0.0000 -1.4553 5.7882
O -1.2603 0.7277 5.7882
O 0.0000 0.0000 3.7431
O -1.2603 -0.7277 8.3917
O 1.2604 0.7277 5.7882
O 0.0000 0.0000 10.4368
O 1.2603 -0.7277 8.3917
O 0.0000 1.4553 8.3917
```

Properties
Uncorrected formation energy in meV per atom: -1216
E in eV per atom: -7.52

=====

No. 17
Compound: Mn3Cu2O8
Source: the Alexandria database
Functional: PBEsol
Structure: relaxed

```
13
Lattice="4.6992 -2.8123 0.0000 4.6992 2.8123 0.0000 -0.7712 0.0000 4.8065" Properties=species:S:1:pos:R:3 pbc="T T T"
Mn 0.0000 0.0000 0.0000
Mn 4.3136 1.3645 2.4032
Mn 4.3136 -1.3645 2.4032
Cu 2.0110 0.0000 4.4735
Cu 6.6163 0.0000 0.3329
O 0.6933 0.0000 1.7269
O 3.4843 1.5205 0.6939
O 5.1429 1.5205 4.1125
O 3.2049 0.0000 2.9214
O 5.4223 0.0000 1.8850
O 3.4843 -1.5205 0.6939
O 5.1429 -1.5205 4.1125
O 7.9340 0.0000 3.0796
```

Properties
Uncorrected formation energy in meV per atom: -1314
E in eV per atom: -7.46

=====

No. 18
Compound: MnCuP2O8
Source: the Alexandria database
Functional: PBEsol
Structure: relaxed

```
24
Lattice="4.7076 0.0000 0.0000 0.0000 5.6893 0.0000 -0.2659 0.0000 9.6047" Properties=species:S:1:pos:R:3 pbc="T T T"
Mn 0.1609 1.4223 2.6597
Mn 4.2807 4.2670 6.9450
Cu 1.7678 1.4223 7.4470
Cu 2.6739 4.2670 2.1577
P 0.3491 4.2670 3.9569
P 1.5943 4.2670 8.6932
P 2.8473 1.4223 0.9114
P 4.0926 1.4223 5.6478
O 0.6934 4.2670 5.4683
O 0.7980 3.1093 7.9627
O 0.7980 5.4246 7.9627
O 0.8987 1.4223 5.7958
O 1.0373 3.0308 3.2666
O 1.0373 5.5031 3.2666
O 1.3534 1.4223 1.2212
O 1.6297 4.2670 0.5794
O 2.8119 1.4223 9.0253
O 3.0883 4.2670 8.3835
O 3.4043 0.1862 6.3381
O 3.4043 2.6585 6.3381
O 3.5429 4.2670 3.8089
O 3.6437 0.2647 1.6420
O 3.6437 2.5800 1.6420
O 3.7483 1.4223 4.1364
```

Properties
Uncorrected formation energy in meV per atom: -1722
E in eV per atom: -7.36
Distance to the lowest polymorph of the same formula in meV/atom: 0.0

=====

No. 19
Compound: Mn2CuP3O12
Source: the Alexandria database
Functional: PBEsol
Structure: relaxed

```
36
Lattice="4.1927 2.4207 6.8109 -4.1927 2.4207 6.8109 0.0000 -4.8413 6.8109" Properties=species:S:1:pos:R:3 pbc="T T T"
Mn 0.0000 0.0000 2.8674
Mn 0.0000 0.0000 7.3490
Mn 0.0000 0.0000 13.0837
Mn 0.0000 0.0000 17.5653
Cu 0.0000 0.0000 0.0000
Cu 0.0000 0.0000 10.2163
P -2.9856 -0.3299 8.5136
P -1.2071 -2.7506 11.9190
P 1.7785 -2.4207 8.5136
P -1.7785 2.4207 11.9190
P 1.2071 2.7506 8.5136
P 2.9856 0.3299 11.9190
O -3.3760 -1.0572 9.7964
O -3.6210 1.0874 8.4104
O -2.7522 -2.5922 12.0223
O -0.7724 -1.3890 6.3910
O -0.7724 -3.4523 10.6362
O -1.4405 -0.1715 8.6168
O 0.8688 -3.6795 8.4104
O -0.8167 1.3634 6.3910
O -2.6036 2.3951 10.6362
O -0.5718 -1.3333 11.8158
O 0.8688 -1.1618 8.6168
O -1.5891 -0.0256 14.0417
O 1.5891 0.0256 6.3910
O -0.8688 1.1618 11.8158
O 0.5718 1.3333 8.6168
O 2.6036 -2.3951 9.7964
O 0.8167 -1.3634 14.0416
O -0.8688 3.6795 12.0223
O 1.4405 0.1715 11.8158
O 0.7724 3.4523 9.7964
O 0.7724 1.3890 14.0416
O 2.7522 2.5921 8.4104
O 3.6210 -1.0874 12.0223
O 3.3760 1.0573 10.6362
```

Properties
Uncorrected formation energy in meV per atom: -1818
E in eV per atom: -7.61